This record from the Alexandria database describes an optimized crystal structure of Cs2RbO. The functional is PBE.

```
data_Cs2RbO
_chemical_formula_sum 'Cs2 Rb1 O1'
_cell_length_a 5.887
_cell_length_b 4.322
_cell_length_c 8.892
_cell_angle_alpha 90.00
_cell_angle_beta 108.59
_cell_angle_gamma 90.00
_space_group_name_H-M_alt 'P 1 2/m 1'
_space_group_IT_number 10
loop_
_space_group_symop_operation_xyz
'x,y,z'
'-x,-y,-z'
'-x,y,-z'
'x,-y,z'
loop_
_atom_site_label
_atom_site_fract_x
_atom_site_fract_y
_atom_site_fract_z
Cs1 0.111 0.000 0.232
Rb1 0.500 0.500 0.000
O1 0.000 0.500 0.000
```

Output
The value obtained for the excess energy over the best structure of this formula in the dataset is 16.1 meV per atom. The calculated total energy comes out at -2.62 eV per atom. The energy relative to the elements, uncorrected comes out at -712 meV/atom.